NaEuInPt | PBE | optimized geometry

Geometry as extended XYZ:
```
4
Lattice="-3.944 -2.691 1.629 0.603 -3.367 3.708 -1.953 0.897 4.564" Properties=species:S:1:pos:R:3 pbc="T T T"
Eu -2.647 -2.580 4.951
Na -1.324 -1.290 2.475
Pt -3.971 -3.870 7.426
In 0.000 0.000 0.000
```

Volume: 91 Å³/f.u.
Energy of formation from the pure elements: -0.436 eV per atom
Raw total energy: -5.53 eV per atom